No. 1
Compound: CuSn2Pb
Source: Alexandria
Functional: PBE
Structure: relaxed

The space group is R-3m (No. 166, hexagonal axes) and the conventional cell measures 3.4183, 3.4183 and 30.6529 Å, with angles of 90.00, 90.00 and 120.00 degrees. The inequivalent atoms are Cu at (0.0000, 0.0000, 0.0000), Sn at (0.0000, 0.0000, 0.3946) and Pb at (0.0000, 0.0000, 0.5000).

As for the size of the total moment: 0.000 μB/atom. The energy of formation comes out at 11.1 kJ/mol of atoms. As for the density of states at the Fermi level: 2.06 states/eV/f.u. The density comes out at 8.16 Mg/m³.

No. 2
Compound: CuSn2Pb
Source: Alexandria
Functional: PBE
Structure: relaxed

The space group is I-42d (No. 122) and the conventional cell measures 5.2509, 5.2509 and 16.9398 Å, with angles of 90.00, 90.00 and 90.00 degrees. The inequivalent atoms are Cu at (0.0000, 0.0000, 0.0000), Sn at (0.1578, 0.2500, 0.1250) and Pb at (0.0000, 0.0000, 0.5000).

As for the size of the total moment: 0.000 μB/atom. The energy of formation comes out at 20.1 kJ/mol of atoms. As for the density of states at the Fermi level: 2.29 states/eV/f.u. The density comes out at 7.23 Mg/m³.

No. 3
Compound: CuSnPb2
Source: Alexandria
Functional: PBE
Structure: relaxed

The space group is R-3m (No. 166, hexagonal axes) and the conventional cell measures 3.3831, 3.3831 and 33.4973 Å, with angles of 90.00, 90.00 and 120.00 degrees. The inequivalent atoms are Cu at (0.0000, 0.0000, 0.0000), Sn at (0.0000, 0.0000, 0.5000) and Pb at (0.0000, 0.0000, 0.0796).

As for the size of the total moment: 0.000 μB/atom. The energy of formation comes out at 34.4 kJ/mol of atoms. As for the density of states at the Fermi level: 2.11 states/eV/f.u. The density comes out at 8.95 Mg/m³.

No. 4
Compound: Cu2SnPb2
Source: Alexandria
Functional: PBE
Structure: relaxed

The space group is I4/mmm (No. 139) and the conventional cell measures 4.6949, 4.6949 and 11.0041 Å, with angles of 90.00, 90.00 and 90.00 degrees. The inequivalent atoms are Cu at (0.0000, 0.0000, 0.1070), Sn at (0.0000, 0.0000, 0.5000) and Pb at (0.0000, 0.5000, 0.2500).

As for the size of the total moment: 0.000 μB/atom. The energy of formation comes out at 31.2 kJ/mol of atoms. As for the density of states at the Fermi level: 2.09 states/eV/f.u. Its energy above the most stable polymorph in this dataset is 166 meV per atom. The density comes out at 9.04 Mg/m³.

No. 5
Compound: CuSnPb3
Source: Alexandria
Functional: PBE
Structure: relaxed

The space group is Pm-3m (No. 221) and the conventional cell measures 5.2980, 5.2980 and 5.2980 Å, with angles of 90.00, 90.00 and 90.00 degrees. The inequivalent atoms are Cu at (0.0000, 0.0000, 0.0000), Sn at (0.5000, 0.5000, 0.5000) and Pb at (0.0000, 0.0000, 0.5000).

As for the size of the total moment: 0.000 μB/atom. The energy of formation comes out at 24.9 kJ/mol of atoms. As for the density of states at the Fermi level: 2.47 states/eV/f.u. Its energy above the most stable polymorph in this dataset is 0 meV per atom. The density comes out at 8.98 Mg/m³.

No. 6
Compound: CuSnPb
Source: Alexandria
Functional: PBE
Structure: relaxed

The space group is C2/m (No. 12) and the conventional cell measures 7.8653, 6.3110 and 7.2326 Å, with angles of 90.00, 122.80 and 90.00 degrees. The inequivalent atoms are Cu at (0.1025, 0.0000, 0.2058), Sn at (0.2500, 0.2500, 0.0000) and Pb at (0.1752, 0.5000, 0.3517).

As for the size of the total moment: 0.000 μB/atom. The energy of formation comes out at 18.7 kJ/mol of atoms. As for the density of states at the Fermi level: 0.98 states/eV/f.u. Its energy above the most stable polymorph in this dataset is 83 meV per atom. The density comes out at 8.57 Mg/m³.

No. 7
Compound: CuSn2Pb
Source: Alexandria
Functional: PBE
Structure: relaxed

The space group is P4/mmm (No. 123) and the conventional cell measures 3.3842, 3.3842 and 8.4918 Å, with angles of 90.00, 90.00 and 90.00 degrees. The inequivalent atoms are Cu at (0.0000, 0.0000, 0.0000), Sn at (0.5000, 0.5000, 0.1947) and Pb at (0.0000, 0.0000, 0.5000).

As for the size of the total moment: 0.000 μB/atom. The energy of formation comes out at 9.5 kJ/mol of atoms. As for the density of states at the Fermi level: 1.92 states/eV/f.u. The density comes out at 8.68 Mg/m³.

No. 8
Compound: CuSnPb
Source: Alexandria
Functional: PBE
Structure: relaxed

The space group is P3m1 (No. 156) and the conventional cell measures 4.5159, 4.5159 and 4.2290 Å, with angles of 90.00, 90.00 and 120.00 degrees. The inequivalent atoms are Cu at (0.0000, 0.0000, 0.0000), Sn at (0.3333, 0.6667, 0.9422) and Pb at (0.6667, 0.3333, 0.4391).

As for the size of the total moment: 0.000 μB/atom. The energy of formation comes out at 14.7 kJ/mol of atoms. As for the density of states at the Fermi level: 1.13 states/eV/f.u. Its energy above the most stable polymorph in this dataset is 42 meV per atom. The density comes out at 8.66 Mg/m³.

No. 9
Compound: CuSn2Pb
Source: Alexandria
Functional: PBE
Structure: relaxed

The space group is R3m (No. 160, hexagonal axes) and the conventional cell measures 4.2579, 4.2579 and 20.0986 Å, with angles of 90.00, 90.00 and 120.00 degrees. The inequivalent atoms are Cu at (0.0000, 0.0000, 0.0000), Sn at (0.0000, 0.0000, 0.3919), Sn at (0.0000, 0.0000, 0.6142) and Pb at (0.0000, 0.0000, 0.8420).

As for the size of the total moment: 0.000 μB/atom. The energy of formation comes out at 8.0 kJ/mol of atoms. As for the density of states at the Fermi level: 1.91 states/eV/f.u. The density comes out at 8.02 Mg/m³.

No. 10
Compound: CuSnPb
Source: Alexandria
Functional: PBE
Structure: relaxed

The space group is I4mm (No. 107) and the conventional cell measures 3.3141, 3.3141 and 12.8921 Å, with angles of 90.00, 90.00 and 90.00 degrees. The inequivalent atoms are Cu at (0.0000, 0.0000, 0.0000), Sn at (0.0000, 0.0000, 0.6248) and Pb at (0.0000, 0.0000, 0.3507).

As for the size of the total moment: 0.000 μB/atom. The energy of formation comes out at 12.6 kJ/mol of atoms. As for the density of states at the Fermi level: 1.26 states/eV/f.u. Its energy above the most stable polymorph in this dataset is 20 meV per atom. The density comes out at 9.13 Mg/m³.

No. 11
Compound: Sr2Cu4Sn3Pb
Source: Alexandria
Functional: PBE
Structure: relaxed

The space group is P-4m2 (No. 115) and the conventional cell measures 4.6319, 4.6319 and 10.8351 Å, with angles of 90.00, 90.00 and 90.00 degrees. The inequivalent atoms are Sr at (0.0000, 0.5000, 0.2365), Cu at (0.0000, 0.0000, 0.0000), Cu at (0.0000, 0.5000, 0.6390), Cu at (0.5000, 0.5000, 0.0000), Sn at (0.0000, 0.5000, 0.8793), Sn at (0.5000, 0.5000, 0.5000) and Pb at (0.0000, 0.0000, 0.5000).

As for the size of the total moment: 0.000 μB/atom. The energy of formation comes out at -27.7 kJ/mol of atoms. As for the density of states at the Fermi level: 3.64 states/eV/f.u. The density comes out at 7.09 Mg/m³.

No. 12
Compound: TiCuSnPb2
Source: Alexandria
Functional: PBE
Structure: relaxed

The space group is P4/mmm (No. 123) and the conventional cell measures 5.4220, 5.4220 and 4.9201 Å, with angles of 90.00, 90.00 and 90.00 degrees. The inequivalent atoms are Ti at (0.0000, 0.0000, 0.0000), Cu at (0.0000, 0.0000, 0.5000), Sn at (0.5000, 0.5000, 0.5000) and Pb at (0.0000, 0.5000, 0.0000).

As for the size of the total moment: 0.099 μB/atom. The energy of formation comes out at 56.6 kJ/mol of atoms. As for the density of states at the Fermi level: 4.01 states/eV/f.u. The density comes out at 7.40 Mg/m³.

No. 13
Compound: Tl2CuSnPb
Source: Alexandria
Functional: PBE
Structure: relaxed

The space group is P4/mmm (No. 123) and the conventional cell measures 5.2939, 5.2939 and 5.1615 Å, with angles of 90.00, 90.00 and 90.00 degrees. The inequivalent atoms are Tl at (0.0000, 0.5000, 0.0000), Cu at (0.0000, 0.0000, 0.0000), Sn at (0.0000, 0.0000, 0.5000) and Pb at (0.5000, 0.5000, 0.5000).

As for the size of the total moment: 0.000 μB/atom. The energy of formation comes out at 19.2 kJ/mol of atoms. As for the density of states at the Fermi level: 3.18 states/eV/f.u. The density comes out at 9.16 Mg/m³.

No. 14
Compound: TlCuSn2Pb
Source: Alexandria
Functional: PBE
Structure: relaxed

The space group is P4/mmm (No. 123) and the conventional cell measures 5.1778, 5.1778 and 5.2856 Å, with angles of 90.00, 90.00 and 90.00 degrees. The inequivalent atoms are Tl at (0.0000, 0.0000, 0.0000), Cu at (0.0000, 0.0000, 0.5000), Sn at (0.0000, 0.5000, 0.5000) and Pb at (0.5000, 0.5000, 0.0000).

As for the size of the total moment: 0.000 μB/atom. The energy of formation comes out at 21.1 kJ/mol of atoms. As for the density of states at the Fermi level: 4.17 states/eV/f.u. Its energy above the most stable polymorph in this dataset is 0 meV per atom. The density comes out at 8.35 Mg/m³.